No. 1
The following is a DFT calculation (PBE-GGA) of a relaxed structure of Tb2ErNi.

Cell lengths 3.6445, 6.2045, 9.5550 Å; angles 90.00, 90.00, 107.05 degrees
Last column: nearest neighbours and their distance in Å.
Atoms (fractional coordinates):
Tb1 0.3631 0.7272 0.9308  2 Ni 2.78
Ni1 0.2366 0.4727 0.2500  4 Tb 2.78, 2 Er 2.82
Er1 0.9174 0.8349 0.2500  2 Ni 2.82
Tb2 0.6369 0.2728 0.4308  2 Ni 2.78
Er2 0.0826 0.1651 0.7500  2 Ni 2.82
Tb3 0.3631 0.7272 0.5692  2 Ni 2.78
Tb4 0.6369 0.2728 0.0692  2 Ni 2.78
Ni2 0.7634 0.5273 0.7500  4 Tb 2.78, 2 Er 2.82

Computed properties:
spin magnetization: 0.0 μB/f.u.
electronic total energy: -40.93 eV per cell
calculated formation energy: -20.8 kJ/mol of atoms
density of states at the Fermi level: 1.302 states/eV/atom
volume: 25.82 Å³/atom
E above lowest polymorph: 0.13 eV/f.u.

***

No. 2
The following is a DFT calculation (PBE-GGA) of a relaxed structure of Tb3ErNi2.

Cell lengths 3.8690, 8.2869, 9.8542 Å; angles 76.99, 78.68, 76.50 degrees
Last column: nearest neighbours and their distance in Å.
Atoms (fractional coordinates):
Ni1 0.2314 0.0884 0.4488  2 Ni 2.49, 2 Tb 2.79
Ni2 0.2317 0.5871 0.9496  2 Ni 2.48
Tb1 0.5813 0.2789 0.5585  3 Ni 2.80-2.97
Tb2 0.8454 0.0629 0.2464  4 Ni 2.79-3.09
Ni3 0.7686 0.9116 0.5512  2 Ni 2.49, 2 Tb 2.79
Tb3 0.4187 0.7211 0.4415  3 Ni 2.80-2.97
Er1 0.8440 0.5645 0.7475  4 Ni 2.78-3.07
Er2 0.1560 0.4355 0.2525  4 Ni 2.78-3.07
Tb4 0.1546 0.9371 0.7536  4 Ni 2.79-3.09
Ni4 0.7683 0.4129 0.0504  2 Ni 2.48
Tb5 0.4178 0.2255 0.9389  3 Ni 2.79-2.93
Tb6 0.5822 0.7745 0.0611  3 Ni 2.79-2.93

Computed properties:
spin magnetization: 0.0 μB/f.u.
electronic total energy: -63.54 eV per cell
calculated formation energy: -28.2 kJ/mol of atoms
density of states at the Fermi level: 1.155 states/eV/atom
volume: 24.66 Å³/atom

***

No. 3
The following is a DFT calculation (PBE-GGA) of a relaxed structure of TbEr3Ni.

Cell lengths 3.4868, 9.2626, 9.9442 Å; angles 70.43, 79.84, 89.98 degrees
Last column: nearest neighbours and their distance in Å.
Atoms (fractional coordinates):
Er1 0.8314 0.0200 0.8387  3 Ni 2.71-2.81
Er2 0.1866 0.3531 0.1255  2 Ni 2.74
Ni1 0.7516 0.2113 0.9959  7 Er 2.71-2.85
Er3 0.3672 0.3753 0.7657  2 Ni 2.85
Er4 0.1686 0.9800 0.1613  3 Ni 2.71-2.81
Ni2 0.2484 0.7887 0.0041  7 Er 2.71-2.85
Tb1 0.0089 0.3131 0.4854  6 Er 3.41-3.60, 3 Tb 3.49-3.57
Er5 0.8134 0.6469 0.8745  2 Ni 2.74
Tb2 0.9911 0.6869 0.5146  6 Er 3.41-3.60, 3 Tb 3.49-3.57
Er6 0.6328 0.6247 0.2343  2 Ni 2.85

Computed properties:
spin magnetization: 0.0 μB/f.u.
electronic total energy: -48.34 eV per cell
calculated formation energy: -1.3 kJ/mol of atoms
density of states at the Fermi level: 1.319 states/eV/atom
volume: 29.73 Å³/atom
E above lowest polymorph: 0.53 eV/f.u.

***

No. 4
The following is a DFT calculation (PBE-GGA) of a relaxed structure of TbEr4Ni2.

Cell lengths 6.3364, 7.4833, 7.8274 Å; angles 112.36, 90.00, 90.00 degrees
Last column: nearest neighbours and their distance in Å.
Atoms (fractional coordinates):
Er1 0.2500 0.9739 0.6122  1 Ni 2.59
Er2 0.2500 0.2528 0.3451  2 Ni 2.66-2.77
Ni1 0.2500 0.6182 0.5853  2 Er 2.59-2.66, 1 Tb 2.88
Er3 0.5040 0.4081 0.7671  4 Ni 2.92-3.11, 2 Er 3.12-3.22
Er4 0.4960 0.5919 0.2329  4 Ni 2.92-3.11, 2 Er 3.12-3.22
Er5 0.0040 0.5919 0.2329  4 Ni 2.92-3.11, 2 Er 3.12-3.22
Er6 0.9960 0.4081 0.7671  4 Ni 2.92-3.11, 2 Er 3.12-3.22
Ni2 0.7500 0.3818 0.4147  2 Er 2.59-2.66, 1 Tb 2.88
Ni3 0.2500 0.2583 0.9936  6 Er 2.77-2.93, 1 Tb 3.00
Er7 0.7500 0.0261 0.3878  1 Ni 2.59
Tb1 0.7500 0.1497 0.0252  2 Ni 2.88-3.00
Tb2 0.2500 0.8503 0.9748  2 Ni 2.88-3.00
Ni4 0.7500 0.7417 0.0064  6 Er 2.77-2.93, 1 Tb 3.00
Er8 0.7500 0.7472 0.6549  2 Ni 2.66-2.77

Computed properties:
spin magnetization: 0.0 μB/f.u.
electronic total energy: -71.26 eV per cell
calculated formation energy: -16.3 kJ/mol of atoms
density of states at the Fermi level: 1.322 states/eV/atom
volume: 24.52 Å³/atom
E above lowest polymorph: 0.00 eV/f.u.

***

No. 5
The following is a DFT calculation (PBE-GGA) of a relaxed structure of Tb2ErNi.

Cell lengths 3.5723, 3.5723, 10.5183 Å; angles 80.22, 80.22, 60.00 degrees
Last column: nearest neighbours and their distance in Å.
Atoms (fractional coordinates):
Er1 0.0000 0.0000 0.0000  2 Tb 3.42, 6 Er 3.57
Ni1 0.5000 0.5000 0.5000  6 Tb 2.70
Tb1 0.1105 0.1105 0.6686  3 Ni 2.70
Tb2 0.8895 0.8895 0.3314  3 Ni 2.70

Computed properties:
spin magnetization: 0.0 μB/f.u.
electronic total energy: -19.21 eV per cell
calculated formation energy: 9.4 kJ/mol of atoms
density of states at the Fermi level: 1.464 states/eV/atom
volume: 28.50 Å³/atom
E above lowest polymorph: 1.38 eV/f.u.

***

No. 6
The following is a DFT calculation (PBE-GGA) of a relaxed structure of Tb2ErNi.

Cell lengths 3.7789, 3.7789, 9.1716 Å; angles 78.11, 78.11, 60.00 degrees
Last column: nearest neighbours and their distance in Å.
Atoms (fractional coordinates):
Er1 0.5013 0.5013 0.4962  6 Tb 3.55-3.62, 6 Er 3.78
Ni1 0.6658 0.6658 0.0025  6 Tb 2.70-2.72
Tb1 0.0601 0.0601 0.8198  3 Ni 2.72
Tb2 0.2728 0.2728 0.1815  3 Ni 2.70

Computed properties:
spin magnetization: 0.0 μB/f.u.
electronic total energy: -19.92 eV per cell
calculated formation energy: -7.7 kJ/mol of atoms
density of states at the Fermi level: 1.275 states/eV/atom
volume: 27.54 Å³/atom
E above lowest polymorph: 0.67 eV/f.u.

***

No. 7
The following is a DFT calculation (PBE-GGA) of a relaxed structure of TbEr2Ni.

Cell lengths 6.2986, 6.8145, 9.5010 Å; angles 90.00, 90.00, 90.00 degrees
Last column: nearest neighbours and their distance in Å.
Atoms (fractional coordinates):
Ni1 0.0575 0.3900 0.2500  4 Er 2.73-2.82, 2 Tb 2.73-2.81
Er1 0.1778 0.6774 0.0660  2 Ni 2.73-2.82
Er2 0.8222 0.3226 0.5660  2 Ni 2.73-2.82
Tb1 0.8618 0.0318 0.2500  2 Ni 2.73-2.81
Tb2 0.1382 0.9682 0.7500  2 Ni 2.73-2.81
Er3 0.3222 0.1774 0.0660  2 Ni 2.73-2.82
Tb3 0.3618 0.4682 0.7500  2 Ni 2.73-2.81
Er4 0.8222 0.3226 0.9340  2 Ni 2.73-2.82
Er5 0.6778 0.8226 0.5660  2 Ni 2.73-2.82
Ni2 0.4425 0.8900 0.2500  4 Er 2.73-2.82, 2 Tb 2.73-2.81
Ni3 0.9425 0.6100 0.7500  4 Er 2.73-2.82, 2 Tb 2.73-2.81
Ni4 0.5575 0.1100 0.7500  4 Er 2.73-2.82, 2 Tb 2.73-2.81
Er6 0.1778 0.6774 0.4340  2 Ni 2.73-2.82
Er7 0.3222 0.1774 0.4340  2 Ni 2.73-2.82
Tb4 0.6382 0.5318 0.2500  2 Ni 2.73-2.81
Er8 0.6778 0.8226 0.9340  2 Ni 2.73-2.82

Computed properties:
spin magnetization: 0.0 μB/f.u.
electronic total energy: -82.29 eV per cell
calculated formation energy: -25.0 kJ/mol of atoms
density of states at the Fermi level: 1.098 states/eV/atom
volume: 25.49 Å³/atom
E above lowest polymorph: 0.00 eV/f.u.

***

No. 8
The following is a DFT calculation (PBE-GGA) of a relaxed structure of Tb3Er3Ni4.

Cell lengths 3.8554, 7.4933, 7.4933 Å; angles 90.13, 90.00, 90.00 degrees
Last column: nearest neighbours and their distance in Å.
Atoms (fractional coordinates):
Tb1 0.5000 0.1628 0.8372  6 Ni 2.92-3.00
Tb2 0.0000 0.0010 0.4989  4 Ni 2.94-3.00
Tb3 0.0000 0.5011 0.9990  4 Ni 2.94-3.00
Er1 0.5000 0.6652 0.6630  6 Ni 2.90-2.96
Ni1 0.0000 0.1220 0.1265  1 Ni 2.63, 2 Er 2.91, 3 Tb 2.92-2.94
Er2 0.5000 0.3370 0.3348  6 Ni 2.90-2.96
Ni2 0.0000 0.8735 0.8780  1 Ni 2.63, 2 Er 2.91, 3 Tb 2.92-2.94
Er3 0.5000 0.8339 0.1661  6 Ni 2.91-2.94
Ni3 0.0000 0.3794 0.6206  1 Ni 2.60, 4 Er 2.90
Ni4 0.0000 0.6242 0.3758  1 Ni 2.60, 4 Er 2.90

Computed properties:
spin magnetization: 0.0 μB/f.u.
electronic total energy: -54.02 eV per cell
calculated formation energy: -32.0 kJ/mol of atoms
density of states at the Fermi level: 0.905 states/eV/atom
volume: 21.65 Å³/atom

***

No. 9
The following is a DFT calculation (PBE-GGA) of a relaxed structure of Tb2ErNi.

Cell lengths 3.4625, 3.4625, 8.5480 Å; angles 90.00, 90.00, 90.00 degrees
Last column: nearest neighbours and their distance in Å.
Atoms (fractional coordinates):
Ni1 0.5000 0.5000 0.0000  8 Tb 2.94
Tb1 0.0000 0.0000 0.8100  4 Ni 2.94, 1 Tb 3.25
Tb2 0.0000 0.0000 0.1900  4 Ni 2.94, 1 Tb 3.25
Er1 0.5000 0.5000 0.5000  4 Er 3.46, 8 Tb 3.61

Computed properties:
spin magnetization: 0.0 μB/f.u.
electronic total energy: -20.17 eV per cell
calculated formation energy: -13.7 kJ/mol of atoms
density of states at the Fermi level: 1.534 states/eV/atom
volume: 25.62 Å³/atom
E above lowest polymorph: 0.42 eV/f.u.

***

No. 10
The following is a DFT calculation (PBE-GGA) of a relaxed structure of TbErTcNi.

Cell lengths 4.7941, 4.7941, 4.7941 Å; angles 60.00, 60.00, 60.00 degrees
Last column: nearest neighbours and their distance in Å.
Atoms (fractional coordinates):
Tb1 0.0000 0.0000 0.0000  4 Tc 2.94, 4 Ni 2.94
Er1 0.5000 0.5000 0.5000  4 Tc 2.94, 4 Ni 2.94
Ni1 0.2500 0.2500 0.2500  4 Er 2.94, 4 Tb 2.94
Tc1 0.7500 0.7500 0.7500  4 Tb 2.94, 4 Er 2.94

Computed properties:
spin magnetization: 0.0 μB/f.u.
electronic total energy: -25.85 eV per cell
calculated formation energy: -12.4 kJ/mol of atoms
density of states at the Fermi level: 0.896 states/eV/atom
volume: 19.48 Å³/atom

***

No. 11
The following is a DFT calculation (PBE-GGA) of a relaxed structure of TbErTlNi.

Cell lengths 5.1020, 5.1020, 5.1020 Å; angles 60.00, 60.00, 60.00 degrees
Last column: nearest neighbours and their distance in Å.
Atoms (fractional coordinates):
Tb1 0.5000 0.5000 0.5000  4 Ni 3.12, 4 Tl 3.12
Ni1 0.2500 0.2500 0.2500  4 Er 3.12, 4 Tb 3.12
Er1 0.0000 0.0000 0.0000  4 Tl 3.12, 4 Ni 3.12
Tl1 0.7500 0.7500 0.7500  4 Er 3.12, 4 Tb 3.12

Computed properties:
spin magnetization: 0.0 μB/f.u.
electronic total energy: -18.35 eV per cell
calculated formation energy: -24.3 kJ/mol of atoms
density of states at the Fermi level: 1.005 states/eV/atom
volume: 23.48 Å³/atom

***

No. 12
The following is a DFT calculation (PBE-GGA) of a relaxed structure of TbErZnNi.

Cell lengths 3.4549, 3.4549, 6.9534 Å; angles 90.00, 90.00, 90.00 degrees
Last column: nearest neighbours and their distance in Å.
Atoms (fractional coordinates):
Er1 0.0000 0.0000 0.3730  4 Ni 2.91, 4 Zn 3.04, 1 Tb 3.26
Zn1 0.5000 0.5000 0.1134  4 Er 3.04, 4 Tb 3.09, 1 Ni 3.38
Tb1 0.0000 0.0000 0.8414  4 Ni 2.96, 4 Zn 3.09, 1 Er 3.26
Ni1 0.5000 0.5000 0.6002  4 Er 2.91, 4 Tb 2.96

Computed properties:
spin magnetization: 0.0 μB/f.u.
electronic total energy: -17.78 eV per cell
calculated formation energy: -36.8 kJ/mol of atoms
density of states at the Fermi level: 0.810 states/eV/atom
volume: 20.75 Å³/atom
E above lowest polymorph: 0.00 eV/f.u.

***

Copy entry 5 word for word.
The following is a DFT calculation (PBE-GGA) of a relaxed structure of Tb2ErNi.

Cell lengths 3.5723, 3.5723, 10.5183 Å; angles 80.22, 80.22, 60.00 degrees
Last column: nearest neighbours and their distance in Å.
Atoms (fractional coordinates):
Er1 0.0000 0.0000 0.0000  2 Tb 3.42, 6 Er 3.57
Ni1 0.5000 0.5000 0.5000  6 Tb 2.70
Tb1 0.1105 0.1105 0.6686  3 Ni 2.70
Tb2 0.8895 0.8895 0.3314  3 Ni 2.70

Computed properties:
spin magnetization: 0.0 μB/f.u.
electronic total energy: -19.21 eV per cell
calculated formation energy: 9.4 kJ/mol of atoms
density of states at the Fermi level: 1.464 states/eV/atom
volume: 28.50 Å³/atom
E above lowest polymorph: 1.38 eV/f.u.